Hf3BiC | GGA-PBE | relaxed

a = 4.5786 Å, b = 4.5786 Å, c = 4.5786 Å
α = 90.00°, β = 90.00°, γ = 90.00°
Closest atoms and distances in Å follow each position.
Space group Pm-3m (No. 221)
Symmetry-distinct sites (fractional):
Hf1 0.0000 0.0000 0.5000 [3 per cell]  2 C 2.29
Bi1 0.5000 0.5000 0.5000 [1 per cell]  12 Hf 3.24
C1 0.0000 0.0000 0.0000 [1 per cell]  6 Hf 2.29

Calculated values
Calculated formation energy = -0.200 eV per atom


Hf6BiC4 | GGA-PBE | relaxed

a = 3.4112 Å, b = 11.2059 Å, c = 17.8528 Å
α = 90.00°, β = 90.00°, γ = 90.00°
Closest atoms and distances in Å follow each position.
Space group Cmcm (No. 63)
Symmetry-distinct sites (fractional):
Hf1 0.0000 0.0000 0.0000 [4 per cell]  6 C 2.38-2.41
Hf2 0.0000 0.1270 0.2500 [4 per cell]  2 C 2.35
Hf3 0.0000 0.2746 0.5749 [8 per cell]  5 C 2.24-2.41
Hf4 0.0000 0.4670 0.1432 [8 per cell]  3 C 2.22-2.24
Bi1 0.0000 0.1658 0.7500 [4 per cell]  6 Hf 2.88-2.96
C1 0.0000 0.0912 0.1202 [8 per cell]  6 Hf 2.24-2.41
C2 0.0000 0.3606 0.0385 [8 per cell]  6 Hf 2.22-2.41

Calculated values
Calculated formation energy = -0.720 eV per atom


HfBi2C | GGA-PBE | relaxed

a = 7.3113 Å, b = 7.3113 Å, c = 6.7832 Å
α = 90.00°, β = 90.00°, γ = 90.00°
Closest atoms and distances in Å follow each position.
Space group I-42d (No. 122)
Symmetry-distinct sites (fractional):
Hf1 0.0000 0.0000 0.0000 [4 per cell]  8 Bi 3.12-3.38, 2 C 3.39
Bi1 0.1748 0.2500 0.6250 [8 per cell]  2 C 2.39
C1 0.0000 0.0000 0.5000 [4 per cell]  4 Bi 2.39

Calculated values
Calculated formation energy = 1.158 eV per atom


Hf6Bi3C | GGA-PBE | relaxed

a = 6.0745 Å, b = 7.5835 Å, c = 11.1992 Å
α = 90.00°, β = 118.77°, γ = 90.00°
Closest atoms and distances in Å follow each position.
Space group P2_1/c (No. 14)
Symmetry-distinct sites (fractional):
Hf1 0.0558 0.2339 0.4356 [4 per cell]  1 C 2.22
Hf2 0.2954 0.6359 0.4440 [4 per cell]  1 C 2.40
Hf3 0.3377 0.0218 0.2041 [4 per cell]  1 C 2.22
Bi1 0.1503 0.1169 0.7189 [4 per cell]  7 Hf 2.94-3.09
Bi2 0.5000 0.0000 0.5000 [2 per cell]  6 Hf 2.97-3.01
C1 0.0000 0.0000 0.0000 [2 per cell]  6 Hf 2.22-2.40

Calculated values
Calculated formation energy = -0.135 eV per atom